No. 1
Density functional theory data (PBE) for a geometry-optimized LaZn2PdAu5 structure.

```
9
Lattice="-2.403 -1.630 4.033 3.881 -2.885 1.146 2.915 5.492 3.955" Properties=species:S:1:pos:R:3 pbc="T T T"
La 1.457 2.746 1.978
Zn 1.206 -1.378 3.223
Zn 3.187 2.355 5.912
Pd 0.000 0.000 0.000
Au 2.564 -0.268 1.419
Au -0.578 0.360 2.863
Au 4.231 2.874 3.682
Au 1.090 3.502 5.126
Au 2.196 0.488 4.567
```

Properties
Density of states at the Fermi level (states/eV per cell): 3.58
E (eV per atom): -3.467
ΔE_f (meV/atom): -238

No. 2
Density functional theory data (PBE) for a geometry-optimized SrMnGa structure.

```
6
Lattice="4.511 0.000 0.000 0.000 4.511 0.000 0.000 0.000 7.314" Properties=species:S:1:pos:R:3 pbc="T T T"
Ga 2.256 0.000 4.943
Ga 0.000 2.256 2.372
Sr 2.256 0.000 1.260
Sr 0.000 2.256 6.054
Mn 2.256 2.256 3.657
Mn 0.000 0.000 3.657
```

Properties
Density of states at the Fermi level (states/eV per cell): 5.23
E (eV per atom): -4.739
ΔE_f (meV/atom): -113

No. 3
Density functional theory data (PBE) for a geometry-optimized V2CrH2 structure.

```
5
Lattice="-1.354 0.043 -2.667 1.153 -2.688 -0.629 -3.993 -3.447 0.293" Properties=species:S:1:pos:R:3 pbc="T T T"
Cr 0.000 0.000 0.000
V -1.238 -1.943 -1.081
V -2.957 -4.149 -1.922
H -2.724 -2.363 -2.011
H -1.470 -3.729 -0.992
```

Properties
Density of states at the Fermi level (states/eV per cell): 2.48
E (eV per atom): -7.041
ΔE to the lowest computed polymorph (eV/f.u.): 0.000

No. 4
Density functional theory data (PBE) for a geometry-optimized NaAcCdCl6 structure.

```
18
Lattice="-2.720 -3.680 5.473 -1.828 -1.681 -6.688 9.524 -7.943 -0.607" Properties=species:S:1:pos:R:3 pbc="T T T"
Na 0.000 0.000 0.000
Na 4.762 -3.972 -0.303
Ac 0.256 -4.333 -2.786
Ac 4.721 -8.971 0.964
Cd -0.042 -4.999 1.268
Cd 5.018 -8.304 -3.089
Cl -1.776 -4.550 -0.728
Cl -2.048 -5.164 3.040
Cl 3.288 -7.849 -5.088
Cl 7.025 -8.140 -4.862
Cl 1.969 -4.829 -0.499
Cl -0.284 -7.631 0.813
Cl 4.775 -10.938 -3.536
Cl 1.688 -5.454 3.266
Cl 5.260 -5.672 -2.635
Cl 0.201 -2.365 1.714
Cl 3.007 -8.474 -1.322
Cl 6.753 -8.753 -1.093
```

Properties
Density of states at the Fermi level (states/eV per cell): 0.00
Formation energy from raw total energies (meV/atom): -1811
E (eV per atom): -3.747